Computed, not measured: a relaxed Mn3CuN crystal at the PBE level of DFT.

```
Mn3CuN
1.0
4.505 0.000 0.000
0.000 4.505 0.000
0.000 0.000 4.505
Mn N Cu
3 1 1
Cartesian
0.000 2.252 0.000 Mn
0.000 0.000 2.252 Mn
2.252 0.000 0.000 Mn
2.252 2.252 2.252 N
0.000 0.000 0.000 Cu
```

Its crystal system is cubic. The uncorrected energy comes out at -6.2496 eV per atom.